1.
Computed, not measured: a geometry-optimized NdDy5Ho2Tm structure at the GGA-PBE level of DFT.

Summary:
**Symmetry**: Cmc2_1

Unit cell a=5.5946 b=10.2700 c=10.5251 alpha=90.00 beta=90.00 gamma=105.81
Sites, in units of the cell vectors:
Ho 0.1136 0.2271 0.3178
Ho 0.1115 0.2230 0.7350
Ho 0.8885 0.7770 0.2350
Ho 0.8864 0.7729 0.8178
Nd 0.4153 0.8306 0.4533
Nd 0.5847 0.1694 0.9533
Dy 0.7191 0.4381 0.8134
Dy 0.7017 0.4034 0.2090
Dy 0.5208 0.0416 0.2381
Dy 0.2809 0.5619 0.3134
Dy 0.6143 0.2286 0.5221
Dy 0.0181 0.0361 0.0231
Dy 0.9819 0.9639 0.5231
Dy 0.4792 0.9584 0.7381
Dy 0.2983 0.5966 0.7090
Dy 0.3857 0.7714 0.0221
Tm 0.1994 0.3989 0.0122
Tm 0.8006 0.6011 0.5122

2.
Computed, not measured: a geometry-optimized CuSbCl structure at the GGA-PBE level of DFT.

Summary:
**Symmetry**: Imm2
**Offset from the most stable computed form**: 5.03 kJ per mole of atoms
**Formation energy (no corrections)**: -118 meV/atom

Unit cell a=6.0410 b=6.0410 c=6.0410 alpha=147.42 beta=140.52 gamma=52.09
Sites, in units of the cell vectors:
Cl 0.9971 0.9971 0.0000
Cu 0.7733 0.7733 0.0000
Sb 0.2297 0.2297 0.0000

Number 1: E -4.44 eV/atom. Number 2: E -3.47 eV/atom.